[1]
# Sr2Al3CuPt4

Sr2Al3CuPt4 after structural relaxation (PBE, the Alexandria database).

## Properties
- Space-group type: P-4m2
- Crystal system: tetragonal

Lattice parameters (Å, degrees): 4.397 4.397 10.261 90.00 90.00 90.00
Sites, in units of the cell vectors:
Sr  0.500  0.000  0.253
Sr  0.000  0.500  0.747
Al  0.000  0.000  0.500
Al  0.500  0.000  0.879
Al  0.000  0.500  0.121
Cu  0.500  0.500  0.500
Pt  0.500  0.500  0.000
Pt  0.000  0.000  0.000
Pt  0.500  0.000  0.634
Pt  0.000  0.500  0.366

=====

[2]
# Pr2PuSn3Pd4

Pr2PuSn3Pd4 after structural relaxation (PBE, the Alexandria database).

## Properties
- Space-group type: P-4m2
- Crystal system: tetragonal

Lattice parameters (Å, degrees): 4.636 4.636 11.038 90.00 90.00 90.00
Sites, in units of the cell vectors:
Pr  0.500  0.000  0.225
Pr  0.000  0.500  0.775
Pu  0.500  0.500  0.500
Sn  0.000  0.000  0.500
Sn  0.500  0.000  0.878
Sn  0.000  0.500  0.122
Pd  0.500  0.500  0.000
Pd  0.000  0.000  0.000
Pd  0.500  0.000  0.643
Pd  0.000  0.500  0.357

=====

Number 1: ΔE_f -8.71 eV per formula unit. Number 2: ΔE_f -7.02 eV per formula unit.